! Nd2Tl (meta-GGA SCAN, PBEsol geometry); values from VASP
! Space group   P6_3/mmc (194)
! Energy of formation from the pure elements   -1.464 eV/f.u.
&SYSTEM
  ibrav = 0, nat = 6, ntyp = 2
/
ATOMIC_SPECIES
Nd 144.24 Nd.upf
Tl 204.38 Tl.upf
ATOMIC_POSITIONS crystal
Nd 0.0000 0.0000 0.0000
Nd 0.0000 0.0000 0.5000
Nd 0.3333 0.6667 0.2500
Nd 0.6667 0.3333 0.7500
Tl 0.3333 0.6667 0.7500
Tl 0.6667 0.3333 0.2500
CELL_PARAMETERS angstrom
5.4768 0.0000 0.0000
-2.7384 4.7431 0.0000
0.0000 0.0000 6.7937

! NdTlZn (meta-GGA SCAN, PBEsol geometry); values from VASP
! Space group   P6_3/mmc (194)
! Energy of formation from the pure elements   -1.553 eV/f.u.
&SYSTEM
  ibrav = 0, nat = 6, ntyp = 3
/
ATOMIC_SPECIES
Nd 144.24 Nd.upf
Tl 204.38 Tl.upf
Zn 65.41 Zn.upf
ATOMIC_POSITIONS crystal
Nd 0.0000 0.0000 0.0000
Nd 0.0000 0.0000 0.5000
Tl 0.3333 0.6667 0.2500
Tl 0.6667 0.3333 0.7500
Zn 0.3333 0.6667 0.7500
Zn 0.6667 0.3333 0.2500
CELL_PARAMETERS angstrom
4.6771 0.0000 0.0000
-2.3385 4.0505 0.0000
0.0000 0.0000 7.5039

! NdTm (meta-GGA SCAN, PBEsol geometry); values from VASP
! Space group   P-6m2 (187)
! Energy of formation from the pure elements   0.087 eV/f.u.
&SYSTEM
  ibrav = 0, nat = 2, ntyp = 2
/
ATOMIC_SPECIES
Nd 144.24 Nd.upf
Tm 168.93 Tm.upf
ATOMIC_POSITIONS crystal
Nd 0.0000 0.0000 0.0000
Tm 0.3333 0.6667 0.5000
CELL_PARAMETERS angstrom
3.5565 0.0000 0.0000
-1.7782 3.0800 0.0000
0.0000 0.0000 5.6365

- What is the energy of formation from the pure elements in the third record?
  0.087 eV/f.u.

- Among the records above, which one has the lowest energy of formation from the pure elements?
  NdTlZn

Please write out number 1 again, unchanged.
! Nd2Tl (meta-GGA SCAN, PBEsol geometry); values from VASP
! Space group   P6_3/mmc (194)
! Energy of formation from the pure elements   -1.464 eV/f.u.
&SYSTEM
  ibrav = 0, nat = 6, ntyp = 2
/
ATOMIC_SPECIES
Nd 144.24 Nd.upf
Tl 204.38 Tl.upf
ATOMIC_POSITIONS crystal
Nd 0.0000 0.0000 0.0000
Nd 0.0000 0.0000 0.5000
Nd 0.3333 0.6667 0.2500
Nd 0.6667 0.3333 0.7500
Tl 0.3333 0.6667 0.7500
Tl 0.6667 0.3333 0.2500
CELL_PARAMETERS angstrom
5.4768 0.0000 0.0000
-2.7384 4.7431 0.0000
0.0000 0.0000 6.7937

- Which of these has the highest energy of formation from the pure elements?
  NdTm